1.
DFT (GGA-PBE) results for an optimized crystal structure of PmInGe2Pt5.

a b c (Å): 4.398 4.398 8.738
angles (deg): 90.00 90.00 90.00
Atoms (fractional coordinates):
1 Pm 0.000 0.000 0.500
2 Ge 0.500 0.500 0.861
3 Ge 0.500 0.500 0.139
4 In 0.000 0.000 0.000
5 Pt 0.500 0.500 0.500
6 Pt 0.500 0.000 0.268
7 Pt 0.000 0.500 0.268
8 Pt 0.000 0.500 0.732
9 Pt 0.500 0.000 0.732

Output
Calculated volume ... 18.8 A^3/atom
Total energy ... -51.972 eV/cell
Spin magnetization ... 0.000 μB/cell
Symmetry ... P4/mmm

=====

2.
DFT (GGA-PBE) results for an optimized crystal structure of PmPuInGe.

a b c (Å): 5.267 5.267 5.267
angles (deg): 60.00 60.00 60.00
Site moments in Bohr magnetons follow the coordinates.
Atoms (fractional coordinates):
1 Pu 0.500 0.500 0.500  5.40
2 Ge 0.750 0.750 0.750  -0.04
3 Pm 0.000 0.000 0.000  0.14
4 In 0.250 0.250 0.250  -0.01

Output
Calculated volume ... 25.8 A^3/atom
Total energy ... -27.750 eV/cell
Spin magnetization ... 5.858 μB/cell
Symmetry ... F-43m

=====

3.
DFT (GGA-PBE) results for an optimized crystal structure of PmInGeRh2.

a b c (Å): 4.389 4.389 6.387
angles (deg): 90.00 90.00 90.00
Atoms (fractional coordinates):
1 Rh 0.000 0.500 0.885
2 Rh 0.500 0.000 0.885
3 Pm 0.000 0.000 0.538
4 Ge 0.000 0.000 0.056
5 In 0.500 0.500 0.637

Output
Calculated volume ... 24.6 A^3/atom
Total energy ... -28.451 eV/cell
Spin magnetization ... 0.000 μB/cell
Symmetry ... P4mm

=====

Q: Among the records above, which one has the highest spin magnetization?
A: PmPuInGe